Na2Mo3O13 after structural relaxation, computed with PBE+U.

Values from the calculation:
The density of states at the Fermi level is 0.142 states/eV per atom. Its uncorrected energy is -110.01 eV per cell. As for the space group: Cm (8).

Cell: 8.867 8.867 11.263 Å, 127.82 127.82 24.85°
Element x y z (fractional)
Na (0.000, 0.000, 0.000)
Na (0.664, 0.664, 0.604)
Mo (0.442, 0.442, 0.625)
Mo (0.744, 0.744, 0.333)
Mo (0.953, 0.953, 0.312)
O (0.076, 0.076, 0.491)
O (0.274, 0.274, 0.959)
O (0.295, 0.295, 0.395)
O (0.305, 0.305, 0.885)
O (0.444, 0.444, 0.335)
O (0.449, 0.449, 0.785)
O (0.564, 0.564, 0.697)
O (0.626, 0.626, 0.153)
O (0.715, 0.715, 0.457)
O (0.821, 0.821, 0.254)
O (0.824, 0.824, 0.832)
O (0.914, 0.914, 0.567)
O (0.960, 0.960, 0.164)